[1]
VASP calculation (GGA-PBE) on crystalline NaTi2NiAs at its relaxed geometry.

a b c (Å): 4.5122 4.8060 4.5122
angles (deg): 90.00 90.00 90.00
Closest atoms and distances in Å follow each position.
Atoms (fractional coordinates):
Ti (0.5000, 0.0000, 0.0000)  2 Ni 2.26
Ti (0.0000, 0.0000, 0.5000)  2 Ni 2.26
Ni (0.0000, 0.0000, 0.0000)  4 Ti 2.26, 2 Na 2.40
As (0.5000, 0.5000, 0.5000)  4 Na 3.19, 8 Ti 3.30
Na (0.0000, 0.5000, 0.0000)  2 Ni 2.40

Values from the calculation:
Its crystal system is tetragonal. The electronic total energy is -25.69 eV/cell. Its density of states at the Fermi level is 3.9 states/eV/cell. The space group is P4/mmm. Its formation energy is 8.5 kcal/mol of atoms.

[2]
VASP calculation (GGA-PBE) on crystalline LiMgHg at its relaxed geometry.

a b c (Å): 3.2545 3.2545 7.1032
angles (deg): 90.00 90.00 120.00
Closest atoms and distances in Å follow each position.
Atoms (fractional coordinates):
Li (0.6667, 0.3333, 0.3174)  3 Hg 2.86, 3 Mg 3.13
Hg (0.0000, 0.0000, 0.0132)  3 Li 2.86, 3 Mg 3.08
Mg (0.3333, 0.6667, 0.6694)  3 Hg 3.08, 3 Li 3.13, 6 Mg 3.25

Values from the calculation:
Its crystal system is trigonal. The electronic total energy is -4.19 eV/cell. Its density of states at the Fermi level is 1.6 states/eV/cell. The space group is P3m1. Its formation energy is -2.9 kcal/mol of atoms.

[3]
VASP calculation (GGA-PBE) on crystalline La6Sm2YSc at its relaxed geometry.

a b c (Å): 8.8516 7.0834 6.7936
angles (deg): 121.42 102.29 90.00
Closest atoms and distances in Å follow each position.
Atoms (fractional coordinates):
La (0.7966, 0.9228, 0.3353)  2 Sm 3.24-3.59, 1 Y 3.34, 1 Sc 3.47, 3 La 3.47-3.63
La (0.6023, 0.3762, 0.7523)  1 Sc 3.45, 5 La 3.73-3.84
La (0.2034, 0.5875, 0.6647)  2 Sm 3.24-3.59, 1 Y 3.34, 1 Sc 3.47, 3 La 3.47-3.63
La (0.2034, 0.0772, 0.6647)  2 Sm 3.24-3.59, 1 Y 3.34, 1 Sc 3.47, 3 La 3.47-3.63
La (0.3977, 0.6238, 0.2477)  1 Sc 3.45, 5 La 3.73-3.84
La (0.7966, 0.4125, 0.3353)  2 Sm 3.24-3.59, 1 Y 3.34, 1 Sc 3.47, 3 La 3.47-3.63
Sm (0.1659, 0.0945, 0.1891)  1 Sm 3.20, 2 La 3.24, 1 Y 3.40
Sm (0.8341, 0.9055, 0.8109)  1 Sm 3.20, 2 La 3.24, 1 Y 3.40
Y (0.5000, 0.0000, 0.0000)  4 La 3.34, 2 Sm 3.40
Sc (0.0000, 0.5000, 0.0000)  6 La 3.45-3.47

Values from the calculation:
Its crystal system is monoclinic. The electronic total energy is -49.67 eV/cell. Its density of states at the Fermi level is 18.3 states/eV/cell. The space group is C2/m. Its formation energy is 4.9 kcal/mol of atoms.